A plane-wave DFT calculation with GGA-PBE was carried out for a relaxed structure of Rb3Pr2TmSe6.

Geometry as POSCAR:
```
Rb3Pr2TmSe6
1.0
3.757 -6.508 0.000
3.757 6.508 0.000
-2.510 0.000 8.020
Rb Pr Tm Se
3 2 1 6
Cartesian
0.000 0.000 0.000
3.757 2.198 0.000
3.757 -2.198 0.000
2.502 4.342 4.010
2.502 -4.342 4.010
2.502 0.000 4.010
1.298 2.088 2.416
0.092 0.000 5.609
1.298 -2.088 2.416
3.707 2.088 5.604
4.912 0.000 2.411
3.707 -2.088 5.604
```

Calculated values
Symmetry: C2/m (12)
Calculated volume in Å³ per cell: 392
Energy relative to the elements, uncorrected in eV/atom: -1.7241